An optimized crystal structure of In2Pt2Au, computed with GGA-PBE.

As for the density of states at the Fermi level: 3.20 states/eV per cell. Its formation energy is -250 meV per atom. The value obtained for the relative energy among the computed polymorphs is 111.3 meV per atom. As for the electronic total energy: -4.417 eV per atom.

The space group is P4/mbm (No. 127) and the conventional cell measures 7.975, 7.975 and 2.991 Å, with angles of 90.00, 90.00 and 90.00 degrees. The inequivalent atoms are In at (0.163, 0.337, 0.000), Pt at (0.134, 0.634, 0.500) and Au at (0.000, 0.000, 0.000).



An optimized crystal structure of Pm3AlIr, computed with GGA-PBE.

As for the density of states at the Fermi level: 21.01 states/eV per cell. Its formation energy is -376 meV per atom. As for the electronic total energy: -5.747 eV per atom.

The space group is C2/m (No. 12) and the conventional cell measures 11.382, 8.556 and 7.621 Å, with angles of 90.00, 131.33 and 90.00 degrees. The inequivalent atoms are Pm at (0.044, 0.000, 0.328), Pm at (0.223, 0.301, 0.749), Al at (0.075, 0.500, 0.250) and Ir at (0.216, 0.500, 0.073).



An optimized crystal structure of CsLiCaBr4, computed with GGA-PBE.

As for the density of states at the Fermi level: 0.00 states/eV per cell. Its uncorrected formation energy is -1810 meV/atom. As for the electronic total energy: -3.448 eV per atom.

The space group is P2_1/m (No. 11) and the conventional cell measures 7.064, 7.496 and 9.863 Å, with angles of 90.00, 110.53 and 90.00 degrees. The inequivalent atoms are Cs at (0.242, 0.250, 0.445), Li at (0.269, 0.750, 0.167), Ca at (0.287, 0.250, 0.951), Br at (0.020, 0.750, 0.922), Br at (0.069, 0.750, 0.330) and Br at (0.479, 0.502, 0.803).